VASP calculation (PBE-GGA) on NbAl2Rh2 after structural relaxation.

Values from the calculation:
The calculated total energy is -7.12 eV/atom. The total magnetic moment comes out at 0.66 μB/f.u. The calculated volume is 15.0 Å³ per atom. The density of states at the Fermi level comes out at 3.16 states/eV/f.u. Its formation energy from the elements is -0.67 eV/atom.

Unit cell a=7.2895 b=7.2895 c=2.8213 alpha=90.00 beta=90.00 gamma=90.00
Last column: nearest neighbours and their distance in Å.
Atoms (fractional coordinates):
Nb: 0.0000 0.0000 0.0000  2 Nb 2.82, 4 Al 2.86, 8 Rh 3.06
Nb: 0.5000 0.5000 0.0000  2 Nb 2.82, 4 Al 2.86, 8 Rh 3.06
Rh: 0.1664 0.6664 0.5000  6 Al 2.53-2.60, 2 Rh 2.82
Rh: 0.6664 0.8336 0.5000  6 Al 2.53-2.60, 2 Rh 2.82
Rh: 0.8336 0.3336 0.5000  6 Al 2.53-2.60, 2 Rh 2.82
Rh: 0.3336 0.1664 0.5000  6 Al 2.53-2.60, 2 Rh 2.82
Al: 0.3698 0.8698 0.0000  6 Rh 2.53-2.60, 3 Al 2.69-2.82
Al: 0.8698 0.6302 0.0000  6 Rh 2.53-2.60, 3 Al 2.69-2.82
Al: 0.6302 0.1302 0.0000  6 Rh 2.53-2.60, 3 Al 2.69-2.82
Al: 0.1302 0.3698 0.0000  6 Rh 2.53-2.60, 3 Al 2.69-2.82